No. 1
# DyLu3Tc

A relaxed DyLu3Tc crystal (PBE, Alexandria via LeMat-Bulk).

Output
Calculated formation energy: 0.114 eV per atom
DFT total energy: -27.962 eV for the cell shown
N(E_F): 7.12 states/eV per cell
Total magnetic moment: 0.00 μB per cell

Geometry as CIF:
```
data_DyLu3Tc
_chemical_formula_sum 'Dy1 Lu3 Tc1'
_cell_length_a 5.284
_cell_length_b 5.284
_cell_length_c 5.284
_cell_angle_alpha 90.00
_cell_angle_beta 90.00
_cell_angle_gamma 90.00
_symmetry_space_group_name_H-M 'P 1'
_symmetry_Int_Tables_number 1
loop_
_symmetry_equiv_pos_as_xyz
'x,y,z'
loop_
_atom_site_label
_atom_site_fract_x
_atom_site_fract_y
_atom_site_fract_z
_atom_site_occupancy
Lu1 0.000 0.500 0.000 1
Lu2 0.000 0.000 0.500 1
Lu3 0.500 0.000 0.000 1
Tc1 0.000 0.000 0.000 1
Dy1 0.500 0.500 0.500 1
```

---

No. 2
# LaInTc2

A relaxed LaInTc2 crystal (PBE, Alexandria via LeMat-Bulk).

Output
Calculated formation energy: 0.363 eV per atom
DFT total energy: -26.944 eV for the cell shown
N(E_F): 4.77 states/eV per cell
Total magnetic moment: 0.22 μB per cell

Geometry as CIF:
```
data_LaInTc2
_chemical_formula_sum 'La1 In1 Tc2'
_cell_length_a 9.929
_cell_length_b 9.929
_cell_length_c 9.929
_cell_angle_alpha 17.94
_cell_angle_beta 17.94
_cell_angle_gamma 17.94
_symmetry_space_group_name_H-M 'P 1'
_symmetry_Int_Tables_number 1
loop_
_symmetry_equiv_pos_as_xyz
'x,y,z'
loop_
_atom_site_label
_atom_site_fract_x
_atom_site_fract_y
_atom_site_fract_z
_atom_site_occupancy
In1 0.512 0.512 0.512 1
La1 0.742 0.742 0.742 1
Tc1 0.987 0.987 0.987 1
Tc2 0.259 0.259 0.259 1
```

---

No. 3
# K2Y2Ir

A relaxed K2Y2Ir crystal (PBE, Alexandria via LeMat-Bulk).

Output
Calculated formation energy: 0.086 eV per atom
DFT total energy: -47.106 eV for the cell shown
N(E_F): 8.41 states/eV per cell
Total magnetic moment: 0.00 μB per cell

Geometry as CIF:
```
data_K2Y2Ir
_chemical_formula_sum 'K4 Y4 Ir2'
_cell_length_a 7.307
_cell_length_b 7.307
_cell_length_c 7.052
_cell_angle_alpha 90.00
_cell_angle_beta 90.00
_cell_angle_gamma 90.00
_symmetry_space_group_name_H-M 'P 1'
_symmetry_Int_Tables_number 1
loop_
_symmetry_equiv_pos_as_xyz
'x,y,z'
loop_
_atom_site_label
_atom_site_fract_x
_atom_site_fract_y
_atom_site_fract_z
_atom_site_occupancy
Y1 0.319 0.819 0.000 1
Y2 0.819 0.681 0.000 1
Y3 0.681 0.181 0.000 1
Y4 0.181 0.319 0.000 1
K1 0.192 0.692 0.500 1
K2 0.692 0.808 0.500 1
K3 0.808 0.308 0.500 1
K4 0.308 0.192 0.500 1
Ir1 0.000 0.000 0.000 1
Ir2 0.500 0.500 0.000 1
```

---

No. 4
# EuPaCuIr

A relaxed EuPaCuIr crystal (PBE, Alexandria via LeMat-Bulk).

Output
Calculated formation energy: -0.206 eV per atom
DFT total energy: -33.553 eV for the cell shown
N(E_F): 4.84 states/eV per cell
Total magnetic moment: 6.93 μB per cell

Geometry as CIF:
```
data_EuPaCuIr
_chemical_formula_sum 'Eu1 Pa1 Cu1 Ir1'
_cell_length_a 4.928
_cell_length_b 4.928
_cell_length_c 4.928
_cell_angle_alpha 60.00
_cell_angle_beta 60.00
_cell_angle_gamma 60.00
_symmetry_space_group_name_H-M 'P 1'
_symmetry_Int_Tables_number 1
loop_
_symmetry_equiv_pos_as_xyz
'x,y,z'
loop_
_atom_site_label
_atom_site_fract_x
_atom_site_fract_y
_atom_site_fract_z
_atom_site_occupancy
Eu1 0.750 0.750 0.750 1
Pa1 0.250 0.250 0.250 1
Cu1 0.500 0.500 0.500 1
Ir1 0.000 0.000 0.000 1
```

---

No. 5
# TaAgW2

A relaxed TaAgW2 crystal (PBE, Alexandria via LeMat-Bulk).

Output
Calculated formation energy: 0.434 eV per atom
DFT total energy: -38.875 eV for the cell shown
N(E_F): 2.75 states/eV per cell
Total magnetic moment: 0.00 μB per cell

Geometry as CIF:
```
data_TaAgW2
_chemical_formula_sum 'Ta1 Ag1 W2'
_cell_length_a 2.712
_cell_length_b 4.318
_cell_length_c 5.815
_cell_angle_alpha 90.00
_cell_angle_beta 90.00
_cell_angle_gamma 90.00
_symmetry_space_group_name_H-M 'P 1'
_symmetry_Int_Tables_number 1
loop_
_symmetry_equiv_pos_as_xyz
'x,y,z'
loop_
_atom_site_label
_atom_site_fract_x
_atom_site_fract_y
_atom_site_fract_z
_atom_site_occupancy
Ag1 0.000 0.000 0.500 1
W1 0.000 0.000 0.008 1
W2 0.500 0.500 0.240 1
Ta1 0.500 0.500 0.752 1
```

---

No. 6
# Tl2CrHgCl6

A relaxed Tl2CrHgCl6 crystal (PBE, Alexandria via LeMat-Bulk).

Output
DFT total energy: -34.603 eV for the cell shown
N(E_F): 1.91 states/eV per cell
Total magnetic moment: 3.76 μB per cell

Geometry as CIF:
```
data_Tl2CrHgCl6
_chemical_formula_sum 'Tl2 Cr1 Hg1 Cl6'
_cell_length_a 7.365
_cell_length_b 7.161
_cell_length_c 7.513
_cell_angle_alpha 59.77
_cell_angle_beta 59.33
_cell_angle_gamma 89.88
_symmetry_space_group_name_H-M 'P 1'
_symmetry_Int_Tables_number 1
loop_
_symmetry_equiv_pos_as_xyz
'x,y,z'
loop_
_atom_site_label
_atom_site_fract_x
_atom_site_fract_y
_atom_site_fract_z
_atom_site_occupancy
Tl1 0.743 0.268 0.493 1
Tl2 0.257 0.732 0.507 1
Cr1 0.000 0.000 0.000 1
Hg1 0.500 0.500 0.000 1
Cl1 0.274 0.236 0.546 1
Cl2 0.836 0.737 0.972 1
Cl3 0.247 0.791 0.046 1
Cl4 0.753 0.209 0.954 1
Cl5 0.164 0.263 0.028 1
Cl6 0.726 0.764 0.454 1
```

---

No. 7
# ZnCd4As

A relaxed ZnCd4As crystal (PBE, Alexandria via LeMat-Bulk).

Output
Calculated formation energy: 0.279 eV per atom
DFT total energy: -7.908 eV for the cell shown
N(E_F): 3.62 states/eV per cell
Total magnetic moment: 0.00 μB per cell

Geometry as CIF:
```
data_ZnCd4As
_chemical_formula_sum 'Zn1 Cd4 As1'
_cell_length_a 5.774
_cell_length_b 5.774
_cell_length_c 5.774
_cell_angle_alpha 60.00
_cell_angle_beta 60.00
_cell_angle_gamma 60.00
_symmetry_space_group_name_H-M 'P 1'
_symmetry_Int_Tables_number 1
loop_
_symmetry_equiv_pos_as_xyz
'x,y,z'
loop_
_atom_site_label
_atom_site_fract_x
_atom_site_fract_y
_atom_site_fract_z
_atom_site_occupancy
Zn1 0.750 0.750 0.750 1
Cd1 0.875 0.375 0.375 1
Cd2 0.375 0.375 0.875 1
Cd3 0.375 0.875 0.375 1
Cd4 0.375 0.375 0.375 1
As1 0.000 0.000 0.000 1
```

---

No. 8
# Zn3CuS

A relaxed Zn3CuS crystal (PBE, Alexandria via LeMat-Bulk).

Output
DFT total energy: -9.055 eV for the cell shown
N(E_F): 1.81 states/eV per cell
Total magnetic moment: 0.00 μB per cell

Geometry as CIF:
```
data_Zn3CuS
_chemical_formula_sum 'Zn3 Cu1 S1'
_cell_length_a 4.684
_cell_length_b 4.684
_cell_length_c 4.684
_cell_angle_alpha 90.00
_cell_angle_beta 90.00
_cell_angle_gamma 90.00
_symmetry_space_group_name_H-M 'P 1'
_symmetry_Int_Tables_number 1
loop_
_symmetry_equiv_pos_as_xyz
'x,y,z'
loop_
_atom_site_label
_atom_site_fract_x
_atom_site_fract_y
_atom_site_fract_z
_atom_site_occupancy
Zn1 0.000 0.500 0.000 1
Zn2 0.000 0.000 0.500 1
Zn3 0.500 0.000 0.000 1
S1 0.000 0.000 0.000 1
Cu1 0.500 0.500 0.500 1
```

---

No. 9
# Ba8Ag2Au3

A relaxed Ba8Ag2Au3 crystal (PBE, Alexandria via LeMat-Bulk).

Output
Calculated formation energy: -0.387 eV per atom
DFT total energy: -35.951 eV for the cell shown
N(E_F): 11.19 states/eV per cell
Total magnetic moment: 0.00 μB per cell

Geometry as CIF:
```
data_Ba8Ag2Au3
_chemical_formula_sum 'Ba8 Ag2 Au3'
_cell_length_a 10.013
_cell_length_b 10.013
_cell_length_c 5.716
_cell_angle_alpha 90.00
_cell_angle_beta 90.00
_cell_angle_gamma 109.41
_symmetry_space_group_name_H-M 'P 1'
_symmetry_Int_Tables_number 1
loop_
_symmetry_equiv_pos_as_xyz
'x,y,z'
loop_
_atom_site_label
_atom_site_fract_x
_atom_site_fract_y
_atom_site_fract_z
_atom_site_occupancy
Ba1 0.378 0.622 0.000 1
Ba2 0.622 0.378 0.000 1
Ba3 0.883 0.117 0.000 1
Ba4 0.117 0.883 0.000 1
Ba5 0.876 0.636 0.500 1
Ba6 0.364 0.124 0.500 1
Ba7 0.636 0.876 0.500 1
Ba8 0.124 0.364 0.500 1
Ag1 0.745 0.255 0.500 1
Ag2 0.255 0.745 0.500 1
Au1 0.000 0.000 0.500 1
Au2 0.259 0.259 0.000 1
Au3 0.741 0.741 0.000 1
```

---

No. 10
# HoMgHg4

A relaxed HoMgHg4 crystal (PBE, Alexandria via LeMat-Bulk).

Output
Calculated formation energy: -0.254 eV per atom
DFT total energy: -8.901 eV for the cell shown
N(E_F): 2.04 states/eV per cell
Total magnetic moment: 0.00 μB per cell

Geometry as CIF:
```
data_HoMgHg4
_chemical_formula_sum 'Ho1 Mg1 Hg4'
_cell_length_a 5.351
_cell_length_b 4.165
_cell_length_c 7.613
_cell_angle_alpha 74.25
_cell_angle_beta 78.57
_cell_angle_gamma 112.88
_symmetry_space_group_name_H-M 'P 1'
_symmetry_Int_Tables_number 1
loop_
_symmetry_equiv_pos_as_xyz
'x,y,z'
loop_
_atom_site_label
_atom_site_fract_x
_atom_site_fract_y
_atom_site_fract_z
_atom_site_occupancy
Ho1 0.501 0.497 0.998 1
Mg1 0.002 0.998 0.498 1
Hg1 0.501 0.830 0.337 1
Hg2 0.501 0.164 0.659 1
Hg3 0.005 0.337 0.817 1
Hg4 0.998 0.657 0.179 1
```

---

No. 11
# La5CoHg2

A relaxed La5CoHg2 crystal (PBE, Alexandria via LeMat-Bulk).

Output
Calculated formation energy: -0.315 eV per atom
DFT total energy: -69.736 eV for the cell shown
N(E_F): 19.81 states/eV per cell
Total magnetic moment: 0.00 μB per cell

Geometry as CIF:
```
data_La5CoHg2
_chemical_formula_sum 'La10 Co2 Hg4'
_cell_length_a 4.940
_cell_length_b 8.406
_cell_length_c 11.829
_cell_angle_alpha 90.00
_cell_angle_beta 90.00
_cell_angle_gamma 90.00
_symmetry_space_group_name_H-M 'P 1'
_symmetry_Int_Tables_number 1
loop_
_symmetry_equiv_pos_as_xyz
'x,y,z'
loop_
_atom_site_label
_atom_site_fract_x
_atom_site_fract_y
_atom_site_fract_z
_atom_site_occupancy
La1 0.000 0.000 0.500 1
La2 0.000 0.500 0.000 1
La3 0.000 0.870 0.192 1
La4 0.000 0.130 0.808 1
La5 0.000 0.630 0.692 1
La6 0.000 0.370 0.308 1
La7 0.500 0.681 0.425 1
La8 0.500 0.319 0.575 1
La9 0.500 0.819 0.925 1
La10 0.500 0.181 0.075 1
Co1 0.000 0.500 0.500 1
Co2 0.000 0.000 0.000 1
Hg1 0.500 0.577 0.164 1
Hg2 0.500 0.423 0.836 1
Hg3 0.500 0.923 0.664 1
Hg4 0.500 0.077 0.336 1
```

---

No. 12
# Li2YThS4

A relaxed Li2YThS4 crystal (PBE, Alexandria via LeMat-Bulk).

Output
DFT total energy: -48.060 eV for the cell shown
N(E_F): 3.35 states/eV per cell
Total magnetic moment: 0.00 μB per cell

Geometry as CIF:
```
data_Li2YThS4
_chemical_formula_sum 'Li2 Y1 Th1 S4'
_cell_length_a 3.929
_cell_length_b 6.645
_cell_length_c 6.827
_cell_angle_alpha 70.11
_cell_angle_beta 90.00
_cell_angle_gamma 90.00
_symmetry_space_group_name_H-M 'P 1'
_symmetry_Int_Tables_number 1
loop_
_symmetry_equiv_pos_as_xyz
'x,y,z'
loop_
_atom_site_label
_atom_site_fract_x
_atom_site_fract_y
_atom_site_fract_z
_atom_site_occupancy
Li1 0.000 0.000 0.000 1
Li2 0.500 0.000 0.500 1
Y1 0.500 0.500 0.000 1
Th1 0.000 0.500 0.500 1
S1 0.000 0.756 0.751 1
S2 0.000 0.244 0.249 1
S3 0.500 0.764 0.240 1
S4 0.500 0.236 0.760 1
```

---

Copy entry 2 word for word.
# LaInTc2

A relaxed LaInTc2 crystal (PBE, Alexandria via LeMat-Bulk).

Output
Calculated formation energy: 0.363 eV per atom
DFT total energy: -26.944 eV for the cell shown
N(E_F): 4.77 states/eV per cell
Total magnetic moment: 0.22 μB per cell

Geometry as CIF:
```
data_LaInTc2
_chemical_formula_sum 'La1 In1 Tc2'
_cell_length_a 9.929
_cell_length_b 9.929
_cell_length_c 9.929
_cell_angle_alpha 17.94
_cell_angle_beta 17.94
_cell_angle_gamma 17.94
_symmetry_space_group_name_H-M 'P 1'
_symmetry_Int_Tables_number 1
loop_
_symmetry_equiv_pos_as_xyz
'x,y,z'
loop_
_atom_site_label
_atom_site_fract_x
_atom_site_fract_y
_atom_site_fract_z
_atom_site_occupancy
In1 0.512 0.512 0.512 1
La1 0.742 0.742 0.742 1
Tc1 0.987 0.987 0.987 1
Tc2 0.259 0.259 0.259 1
```

---

Please write out number 12 again, unchanged.
# Li2YThS4

A relaxed Li2YThS4 crystal (PBE, Alexandria via LeMat-Bulk).

Output
DFT total energy: -48.060 eV for the cell shown
N(E_F): 3.35 states/eV per cell
Total magnetic moment: 0.00 μB per cell

Geometry as CIF:
```
data_Li2YThS4
_chemical_formula_sum 'Li2 Y1 Th1 S4'
_cell_length_a 3.929
_cell_length_b 6.645
_cell_length_c 6.827
_cell_angle_alpha 70.11
_cell_angle_beta 90.00
_cell_angle_gamma 90.00
_symmetry_space_group_name_H-M 'P 1'
_symmetry_Int_Tables_number 1
loop_
_symmetry_equiv_pos_as_xyz
'x,y,z'
loop_
_atom_site_label
_atom_site_fract_x
_atom_site_fract_y
_atom_site_fract_z
_atom_site_occupancy
Li1 0.000 0.000 0.000 1
Li2 0.500 0.000 0.500 1
Y1 0.500 0.500 0.000 1
Th1 0.000 0.500 0.500 1
S1 0.000 0.756 0.751 1
S2 0.000 0.244 0.249 1
S3 0.500 0.764 0.240 1
S4 0.500 0.236 0.760 1
```